Entry 1:
Compound: TlAu2
Source: the Alexandria database
Functional: GGA-PBEsol
Structure: relaxed

Geometry as CIF:
```
data_TlAu2
_chemical_formula_sum 'Tl4 Au8'
_cell_length_a 10.649
_cell_length_b 3.116
_cell_length_c 7.394
_cell_angle_alpha 90.00
_cell_angle_beta 94.24
_cell_angle_gamma 90.00
_space_group_name_H-M_alt 'C 1 m 1'
_space_group_IT_number 8
_space_group_name_Hall 'C -2y'
loop_
_atom_site_label
_atom_site_fract_x
_atom_site_fract_y
_atom_site_fract_z
Tl1 0.000 0.000 0.000
Tl2 0.241 0.000 0.704
Au1 0.003 0.500 0.660
Au2 0.141 0.500 0.352
Au3 0.270 0.000 0.107
Au4 0.410 0.500 0.367
```

Formation energy from the elements   0.07 eV per atom
M_tot   0.00 Bohr magnetons per cell
E above lowest polymorph   0.0543 eV/atom
D(E_F)   0.35 states/eV/atom


Entry 2:
Compound: CaOsPt
Source: the Alexandria database
Functional: GGA-PBEsol
Structure: relaxed

Geometry as CIF:
```
data_CaOsPt
_chemical_formula_sum 'Ca4 Os4 Pt4'
_cell_length_a 6.205
_cell_length_b 6.205
_cell_length_c 6.205
_cell_angle_alpha 90.00
_cell_angle_beta 90.00
_cell_angle_gamma 90.00
_space_group_name_H-M_alt 'F -4 3 m'
_space_group_IT_number 216
_space_group_name_Hall 'F -4 2 3'
loop_
_atom_site_label
_atom_site_fract_x
_atom_site_fract_y
_atom_site_fract_z
Ca1 0.000 0.000 0.000
Os1 0.250 0.250 0.750
Pt1 0.000 0.000 0.500
```

Formation energy from the elements   0.69 eV per atom
M_tot   0.01 Bohr magnetons per cell
D(E_F)   1.17 states/eV/atom


Entry 3:
Compound: SbIrBr
Source: the Alexandria database
Functional: GGA-PBEsol
Structure: relaxed

Geometry as CIF:
```
data_SbIrBr
_chemical_formula_sum 'Sb1 Ir1 Br1'
_cell_length_a 3.8487
_cell_length_b 3.8487
_cell_length_c 5.3531
_cell_angle_alpha 90.00
_cell_angle_beta 90.00
_cell_angle_gamma 120.00
_space_group_name_H-M_alt 'P 3 m 1'
_space_group_IT_number 156
_space_group_name_Hall 'P 3 -2"'
loop_
_atom_site_label
_atom_site_fract_x
_atom_site_fract_y
_atom_site_fract_z
Sb1 0.0000 0.0000 0.0000
Ir1 0.6667 0.3333 0.2364
Br1 0.3333 0.6667 0.5222
```

E_form (uncorrected)   0.05 eV/f.u.
M_tot   0.00 Bohr magnetons per cell
D(E_F)   0.53 states/eV/atom


Entry 4:
Compound: LaMg2Fe
Source: the Alexandria database
Functional: GGA-PBEsol
Structure: relaxed

Geometry as CIF:
```
data_LaMg2Fe
_chemical_formula_sum 'La2 Mg4 Fe2'
_cell_length_a 3.159
_cell_length_b 4.813
_cell_length_c 11.394
_cell_angle_alpha 90.00
_cell_angle_beta 90.00
_cell_angle_gamma 90.00
_space_group_name_H-M_alt 'I m m m'
_space_group_IT_number 71
_space_group_name_Hall '-I 2 2'
loop_
_atom_site_label
_atom_site_fract_x
_atom_site_fract_y
_atom_site_fract_z
La1 0.000 0.000 0.000
Mg1 0.000 0.500 0.202
Fe1 0.000 0.000 0.500
```

Formation energy from the elements   0.18 eV per atom
M_tot   3.43 Bohr magnetons per cell
D(E_F)   1.17 states/eV/atom